Ba4PrIn5: relaxed, PBE-GGA.

The space-group type is P4/mmm. For the theoretical density, the calculation gives 5.66 g cm⁻³. The calculation puts the uncorrected energy at -3.017 eV per atom.

Unit cell a=4.175 b=4.175 c=21.270 alpha=90.00 beta=90.00 gamma=90.00
Sites, in units of the cell vectors:
In  0.500  0.500  0.705
Pr  0.000  0.000  0.000
Ba  0.000  0.000  0.190
In  0.500  0.500  0.920
In  0.500  0.500  0.295
In  0.500  0.500  0.500
In  0.500  0.500  0.080
Ba  0.000  0.000  0.397
Ba  0.000  0.000  0.603
Ba  0.000  0.000  0.810